# GaGeHS2 (PBE, relaxed)
# E_tot: -3.840 eV/atom
data_GaGeHS2
_chemical_formula_sum 'Ga1 Ge1 H1 S2'
_space_group_name_H-M_alt 'P 4/m m m'
_space_group_IT_number 123
_space_group_name_Hall '-P 4 2'
_cell_length_a 4.8580
_cell_length_b 4.8580
_cell_length_c 3.4394
_cell_angle_alpha 90.00
_cell_angle_beta 90.00
_cell_angle_gamma 90.00
loop_
_atom_site_label
_atom_site_type_symbol
_atom_site_fract_x
_atom_site_fract_y
_atom_site_fract_z
Ga1 Ga 0.0000 0.0000 0.0000
Ge1 Ge 0.5000 0.5000 0.5000
H1 H 0.0000 0.0000 0.5000
S1 S 0.0000 0.5000 0.0000